PmV2NiO8: optimized geometry, PBE with a Hubbard U.

Calculated values
Magnetic moment: 0.97 Bohr magnetons per cell
VASP energy: -7.0279 eV/atom

a b c (Å): 5.7868 5.7868 5.9928
angles (deg): 90.00 90.00 120.00
With the nearest neighbours (Å) after each atom.
Space group P-3m1 (No. 164)
Inequivalent atoms, fractional coordinates:
Pm  0.0000  0.0000  0.0000 [1 per cell]  6 O 2.35
V  0.3333  0.6667  0.6311 [2 per cell]  4 O 1.65-1.79
Ni  0.0000  0.0000  0.5000 [1 per cell]  6 O 2.09
O  0.1628  0.3257  0.7183 [6 per cell]  1 V 1.79
O  0.3333  0.6667  0.3557 [2 per cell]  1 V 1.65